No. 1
# SrCa2Se

A geometry-optimized SrCa2Se structure (GGA-PBE, the Alexandria database).

The structure in extended XYZ format:
```
4
Lattice="-0.065 -1.484 3.488 -1.870 -3.022 -1.320 8.585 -4.539 -1.771" Properties=species:S:1:pos:R:3 pbc="T T T"
Ca 0.103 -0.055 -0.021
Ca 1.776 -3.703 0.518
Se 4.171 -2.206 -0.860
Sr 4.892 -5.351 -0.125
```

Values from the calculation:
* energy relative to the elements, uncorrected: -0.84 eV/atom
* crystal system: tetragonal

No. 2
# La12Sm7Pu

A geometry-optimized La12Sm7Pu structure (GGA-PBE, the Alexandria database).

The structure in extended XYZ format:
```
20
Lattice="6.275 0.000 -1.291 -3.237 9.837 -5.132 0.198 0.000 11.556" Properties=species:S:1:pos:R:3 pbc="T T T"
Sm 1.760 7.427 4.020
Sm 5.638 0.004 1.679
Sm -2.402 9.833 3.454
Sm 3.138 0.000 -0.646
Sm -1.758 7.430 -4.014
Sm 1.477 2.410 1.112
Sm 4.995 2.406 9.146
La 2.832 0.003 3.541
La 0.098 1.824 5.780
La 0.404 9.834 1.591
La 3.139 8.013 -0.648
La 4.664 3.499 1.100
La 1.302 5.832 1.020
La 4.535 4.008 6.151
La 1.808 3.497 9.160
La 1.935 4.005 4.112
La -1.427 6.337 4.033
La -1.298 5.828 -1.019
La 1.428 6.340 -4.028
Pu 0.000 0.000 0.000
```

Values from the calculation:
* energy of formation: 3.5 eV per formula unit
* crystal system: trigonal

No. 3
# MgPd

A geometry-optimized MgPd structure (GGA-PBE, the Alexandria database).

The structure in extended XYZ format:
```
32
Lattice="2.990 0.000 0.000 0.000 15.114 0.000 0.000 0.000 11.842" Properties=species:S:1:pos:R:3 pbc="T T T"
Mg 0.000 7.557 10.290
Mg 0.000 7.557 1.552
Mg 0.748 11.336 10.434
Mg 1.495 0.000 1.552
Mg 0.748 11.336 7.329
Mg 2.243 3.779 7.329
Mg 1.495 0.000 10.290
Mg 0.748 3.779 4.513
Mg 2.243 11.336 1.408
Mg 1.495 7.557 7.474
Mg 2.243 3.779 10.434
Mg 2.243 11.336 4.513
Mg 0.000 0.000 7.474
Mg 0.748 3.779 1.408
Mg 1.495 7.557 4.369
Mg 0.000 0.000 4.369
Pd 1.495 5.889 0.000
Pd 0.748 2.110 8.882
Pd 0.000 5.889 5.921
Pd 2.243 9.667 8.882
Pd 0.000 13.446 0.000
Pd 0.748 9.667 2.961
Pd 2.243 13.004 8.882
Pd 1.495 13.446 5.921
Pd 2.243 2.110 2.961
Pd 2.243 5.447 2.961
Pd 0.748 5.447 8.882
Pd 0.000 9.226 5.921
Pd 0.000 1.669 0.000
Pd 1.495 1.669 5.921
Pd 0.748 13.004 2.961
Pd 1.495 9.226 0.000
```

Values from the calculation:
* energy of formation: -1.2 eV per formula unit
* crystal system: orthorhombic

No. 4
# YErLuCd

A geometry-optimized YErLuCd structure (GGA-PBE, the Alexandria database).

The structure in extended XYZ format:
```
4
Lattice="-3.772 -3.195 -2.178 -0.741 -4.996 1.914 -4.471 -1.188 2.788" Properties=species:S:1:pos:R:3 pbc="T T T"
Lu -2.246 -2.345 0.631
Y 0.000 0.000 0.000
Er -4.492 -4.689 1.262
Cd -6.738 -7.034 1.893
```

Values from the calculation:
* energy of formation: -0.1 eV per formula unit
* crystal system: cubic

No. 5
# Co2AgAu2

A geometry-optimized Co2AgAu2 structure (GGA-PBE, the Alexandria database).

The structure in extended XYZ format:
```
10
Lattice="7.587 0.000 0.000 0.000 7.587 0.000 0.000 0.000 2.766" Properties=species:S:1:pos:R:3 pbc="T T T"
Co 0.805 2.989 0.000
Co 2.989 6.782 0.000
Co 4.599 0.805 0.000
Co 6.782 4.599 0.000
Au 6.164 2.370 1.383
Au 2.370 1.423 1.383
Au 5.217 6.164 1.383
Au 1.423 5.217 1.383
Ag 3.794 3.794 0.000
Ag 0.000 0.000 0.000
```

Values from the calculation:
* energy of formation: 1.5 eV per formula unit
* crystal system: tetragonal

No. 6
# PmTmBeNi

A geometry-optimized PmTmBeNi structure (GGA-PBE, the Alexandria database).

The structure in extended XYZ format:
```
4
Lattice="-0.831 -4.540 1.440 3.704 -2.893 1.133 0.767 -1.254 4.606" Properties=species:S:1:pos:R:3 pbc="T T T"
Pm 1.820 -4.343 3.590
Ni 0.910 -2.172 1.795
Tm 0.000 0.000 0.000
Be 2.730 -6.515 5.384
```

Values from the calculation:
* energy of formation: -0.4 eV per formula unit
* crystal system: cubic

For the records above, the corresponding raw total energy values read -3.131; -5.149; -3.984; -4.148; -4.433; -4.777 eV/atom.
For the records above, the corresponding Fermi-level density of states values read 0.70; 1.62; 0.31; 1.23; 1.09; 0.73 states/eV/atom.